# 1
The following is a PBE-GGA calculation of crystalline Zr2PAu at its relaxed geometry, from the Alexandria database.

As for the density of states at the Fermi level: 2.466 states/eV per cell. The magnetization comes out at 0.00 μB/f.u. As for the uncorrected energy: -7.2651 eV/atom.

Lattice parameters (Å, degrees): 5.6479 5.6479 3.7757 90.00 90.00 140.52
Last column: nearest neighbours and their distance in Å.
Sites, in units of the cell vectors:
1 Zr 0.7260 0.2740 0.0000  4 P 2.76, 3 Au 2.92-3.06
2 Zr 0.0362 0.9638 0.5000  1 P 2.67, 4 Au 2.83
3 P 0.2869 0.7131 0.5000  2 Au 2.57, 5 Zr 2.67-2.76
4 Au 0.4509 0.5491 0.0000  2 P 2.57, 4 Zr 2.83

=====

# 2
The following is a PBE-GGA calculation of crystalline Zr2PAu at its relaxed geometry, from the Alexandria database.

As for the density of states at the Fermi level: 1.293 states/eV per cell. The magnetization comes out at 0.00 μB/f.u. As for the uncorrected energy: -7.3585 eV/atom.

Lattice parameters (Å, degrees): 3.6568 3.6568 7.3252 75.54 75.54 59.97
Last column: nearest neighbours and their distance in Å.
Sites, in units of the cell vectors:
1 Au 0.7500 0.7500 0.7500  6 Zr 2.93
2 Zr 0.5130 0.5130 0.4608  3 P 2.58
3 Zr 0.9870 0.9870 0.0392  3 P 2.58
4 P 0.2500 0.2500 0.2500  6 Zr 2.58

=====

# 3
The following is a PBE-GGA calculation of crystalline Zr2PAu at its relaxed geometry, from the Alexandria database.

As for the density of states at the Fermi level: 3.536 states/eV per cell. The magnetization comes out at 0.00 μB/f.u. As for the uncorrected energy: -6.7193 eV/atom.

Lattice parameters (Å, degrees): 7.6501 7.6501 7.6501 27.55 27.55 27.55
Last column: nearest neighbours and their distance in Å.
Sites, in units of the cell vectors:
1 Au 0.5134 0.5134 0.5134  3 P 2.58
2 Zr 0.7566 0.7566 0.7566  3 Au 2.90, 3 Zr 3.18
3 Zr 0.9819 0.9819 0.9819  3 P 2.57
4 P 0.2481 0.2481 0.2481  3 Zr 2.57, 3 Au 2.58

=====

# 4
The following is a PBE-GGA calculation of crystalline Zr2PAu at its relaxed geometry, from the Alexandria database.

As for the density of states at the Fermi level: 3.042 states/eV per cell. The magnetization comes out at 0.00 μB/f.u. As for the uncorrected energy: -7.3082 eV/atom.

Lattice parameters (Å, degrees): 3.6587 3.6587 7.3298 75.55 75.55 60.00
Last column: nearest neighbours and their distance in Å.
Sites, in units of the cell vectors:
1 Zr 0.0700 0.0700 0.7898  3 P 2.57
2 Au 0.5001 0.5001 0.4997  6 Zr 2.92-2.93
3 Zr 0.2626 0.2626 0.2123  3 P 2.59
4 P 0.6673 0.6673 0.9981  6 Zr 2.57-2.59